A plane-wave DFT calculation with PBE+U was carried out for an optimized crystal structure of Li2VCrO4.

a b c (Å): 5.1537 5.9659 5.9659
angles (deg): 119.66 106.53 73.47
With the nearest neighbours (Å) after each atom.
Element x y z (fractional)
Li (0.0056, 0.4983, 0.5013)  6 O 2.15-2.21
O (0.7586, 0.8610, 0.1331)  1 Cr 2.05, 2 V 2.05-2.06, 3 Li 2.15-2.21
O (0.7424, 0.3847, 0.1104)  2 Cr 2.03, 1 V 2.06, 3 Li 2.16-2.21
O (0.7576, 0.3654, 0.6397)  2 Cr 2.03, 1 V 2.06, 3 Li 2.16-2.21
Cr (0.5000, 0.2514, 0.7514)  6 O 2.03-2.05
Li (0.9943, 0.0014, 0.9984)  6 O 2.15-2.21
O (0.2424, 0.1396, 0.8653)  2 Cr 2.03, 1 V 2.06, 3 Li 2.16-2.21
Cr (0.0000, 0.4986, 0.9986)  6 O 2.03-2.05
O (0.2415, 0.6331, 0.3609)  1 Cr 2.05, 2 V 2.05-2.06, 3 Li 2.15-2.21
Li (0.4943, 0.2516, 0.2486)  6 O 2.15-2.21
Li (0.5056, 0.7487, 0.7517)  6 O 2.15-2.21
V (0.5000, 0.7504, 0.2505)  6 O 2.05-2.06
O (0.2586, 0.1169, 0.3890)  1 Cr 2.05, 2 V 2.05-2.06, 3 Li 2.15-2.21
O (0.7415, 0.8891, 0.6169)  1 Cr 2.05, 2 V 2.05-2.06, 3 Li 2.15-2.21
V (0.0000, 0.9995, 0.4996)  6 O 2.05-2.06
O (0.2576, 0.6103, 0.8846)  2 Cr 2.03, 1 V 2.06, 3 Li 2.16-2.21

The value obtained for the total energy is -6.910 eV per atom. The calculation puts the energy relative to the lowest polymorph listed for this composition at 1.1 meV per atom. As for the space group: C2/c. The calculation puts the volume at 9.41 A^3/atom.